First-principles (GGA-PBE) data for ScAgS2 after structural relaxation, as listed in Alexandria via LeMat-Bulk.

Geometry as POSCAR:
```
ScAgS2
1.0
6.939 0.000 0.000
0.000 6.939 0.000
3.469 3.469 3.325
S Sc Ag
4 2 2
Direct
0.687 0.813 0.000
0.313 0.187 0.000
0.813 0.313 0.000
0.187 0.687 0.000
0.250 0.750 0.500
0.750 0.250 0.500
0.250 0.250 0.500
0.750 0.750 0.500
```

For the uncorrected formation energy, the calculation gives -941 meV/atom. As for the energy: -5.3004 eV/atom. The spin magnetization is 0.0 μB per formula unit. The calculation puts the mass density at 4.50 g cm⁻³.